w | DFT (GGA-PBE) results for Tb8PrNd2 after structural relaxation.

Results
Volume = 33.7 Å³/atom
Size of the total moment = 0.00 μB per formula unit
Space group = No. 12

a = 6.7333 Å, b = 10.3417 Å, c = 10.3417 Å
α = 37.84°, β = 59.12°, γ = 59.12°
Element x y z (fractional)
Tb: 0.7687 0.1739 0.6466
Tb: 0.2313 0.3534 0.8261
Tb: 0.2691 0.4126 0.4126
Tb: 0.1825 0.7561 0.7561
Tb: 0.2313 0.8261 0.3534
Tb: 0.7309 0.5874 0.5874
Tb: 0.7687 0.6466 0.1739
Tb: 0.8175 0.2439 0.2439
Nd: 0.6105 0.7957 0.7957
Nd: 0.3895 0.2043 0.2043
Pr: 0.0000 0.0000 0.0000

=====

x | DFT (GGA-PBE) results for Tb8PrNd2 after structural relaxation.

Results
Volume = 33.5 Å³/atom
Size of the total moment = 0.00 μB per formula unit
Space group = No. 71

a = 5.5797 Å, b = 8.2050 Å, c = 9.4475 Å
α = 115.74°, β = 107.18°, γ = 90.00°
Element x y z (fractional)
Pr: 0.5000 0.0000 0.0000
Tb: 0.3617 0.1555 0.7235
Tb: 0.6383 0.8445 0.2765
Tb: 0.3618 0.5680 0.7235
Tb: 0.6382 0.4320 0.2765
Tb: 0.8391 0.8391 0.6783
Tb: 0.0000 0.2947 0.0000
Tb: 0.0000 0.7053 0.0000
Tb: 0.1609 0.1609 0.3217
Nd: 0.2002 0.7002 0.4004
Nd: 0.7998 0.2998 0.5996

=====

How do the energies compare? Relative to the most stable structure, in meV/atom: w 45; x 0.

=====

w | DFT (GGA-PBE) results for Tb3Pr8Nd2 after structural relaxation.

Results
Volume = 35.4 Å³/atom
Size of the total moment = 0.00 μB per formula unit
Space group = No. 12

a = 6.2055 Å, b = 11.9701 Å, c = 9.0313 Å
α = 131.51°, β = 72.53°, γ = 90.00°
Element x y z (fractional)
Pr: 0.3399 0.4043 0.3278
Pr: 0.7626 0.4170 0.8340
Pr: 0.0954 0.8606 0.7212
Pr: 0.9046 0.1394 0.2788
Pr: 0.2374 0.5830 0.1660
Pr: 0.6601 0.5957 0.6722
Pr: 0.6601 0.0766 0.6722
Pr: 0.3399 0.9234 0.3278
Nd: 0.6567 0.6926 0.3852
Nd: 0.3433 0.3074 0.6148
Tb: 0.0000 0.7359 0.0000
Tb: 0.0000 0.2641 0.0000
Tb: 0.5000 0.0000 0.0000

=====

x | DFT (GGA-PBE) results for Tb3Pr8Nd2 after structural relaxation.

Results
Volume = 36.1 Å³/atom
Size of the total moment = 0.00 μB per formula unit
Space group = No. 2

a = 5.7939 Å, b = 7.7638 Å, c = 11.1356 Å
α = 110.37°, β = 90.01°, γ = 90.00°
Element x y z (fractional)
Tb: 0.0000 0.7155 0.0002
Tb: 0.5000 0.0000 0.0000
Tb: 0.0000 0.2845 0.9998
Nd: 0.4995 0.2412 0.4806
Nd: 0.5005 0.7588 0.5194
Pr: 0.9998 0.1306 0.2613
Pr: 0.0003 0.6710 0.3428
Pr: 0.5001 0.3991 0.2075
Pr: 0.0002 0.8694 0.7387
Pr: 0.5001 0.8095 0.2080
Pr: 0.9997 0.3290 0.6572
Pr: 0.4999 0.1905 0.7920
Pr: 0.4999 0.6009 0.7925

=====

How do the energies compare? Relative to the most stable structure, in meV/atom: w 0; x 39.

=====

w | DFT (GGA-PBE) results for Tb4Pr2Nd5 after structural relaxation.

Results
Volume = 35.6 Å³/atom
Size of the total moment = 0.00 μB per formula unit
Space group = No. 71

a = 3.5631 Å, b = 9.2713 Å, c = 12.8622 Å
α = 111.13°, β = 97.96°, γ = 90.00°
Element x y z (fractional)
Nd: 0.1434 0.3411 0.2868
Nd: 0.8566 0.0543 0.7132
Nd: 0.8566 0.6589 0.7132
Nd: 0.5000 0.0000 0.0000
Nd: 0.1434 0.9457 0.2868
Pr: 0.2683 0.2683 0.5367
Pr: 0.7317 0.7317 0.4633
Tb: 0.0000 0.6887 0.0000
Tb: 0.4037 0.4037 0.8074
Tb: 0.5963 0.5963 0.1926
Tb: 0.0000 0.3113 0.0000

=====

x | DFT (GGA-PBE) results for Tb4Pr2Nd5 after structural relaxation.

Results
Volume = 35.2 Å³/atom
Size of the total moment = 0.00 μB per formula unit
Space group = No. 12

a = 3.6143 Å, b = 12.2940 Å, c = 9.3180 Å
α = 107.23°, β = 101.18°, γ = 90.00°
Element x y z (fractional)
Nd: 0.1094 0.5166 0.2189
Nd: 0.1663 0.0133 0.3327
Nd: 0.5000 0.0000 0.0000
Nd: 0.8337 0.9867 0.6673
Nd: 0.8906 0.4834 0.7811
Tb: 0.6690 0.7682 0.3380
Tb: 0.3310 0.2318 0.6620
Tb: 0.0032 0.7533 0.0064
Tb: 0.9968 0.2467 0.9936
Pr: 0.3207 0.7025 0.6414
Pr: 0.6793 0.2975 0.3586

=====

How do the energies compare? Relative to the most stable structure, in meV/atom: w 40; x 0.

=====

w | DFT (GGA-PBE) results for TbPr7Nd2 after structural relaxation.

Results
Volume = 42.1 Å³/atom
Size of the total moment = 0.00 μB per formula unit
Space group = No. 65

a = 5.5529 Å, b = 9.6230 Å, c = 9.6231 Å
α = 125.06°, β = 90.00°, γ = 90.00°
Element x y z (fractional)
Pr: 0.0000 0.2166 0.7834
Pr: 0.0000 0.7834 0.2166
Pr: 0.5000 0.7081 0.9294
Pr: 0.5000 0.2919 0.0706
Pr: 0.5000 0.9294 0.7081
Pr: 0.5000 0.0706 0.2919
Pr: 0.5000 0.5000 0.5000
Nd: 0.5000 0.7041 0.2959
Nd: 0.5000 0.2959 0.7041
Tb: 0.0000 0.0000 0.0000

=====

x | DFT (GGA-PBE) results for TbPr7Nd2 after structural relaxation.

Results
Volume = 35.6 Å³/atom
Size of the total moment = 0.00 μB per formula unit
Space group = No. 65

a = 3.4923 Å, b = 15.4639 Å, c = 15.4639 Å
α = 154.73°, β = 90.00°, γ = 90.00°
Element x y z (fractional)
Nd: 0.5000 0.7936 0.2064
Nd: 0.5000 0.2064 0.7936
Pr: 0.5000 0.1431 0.3414
Pr: 0.5000 0.8569 0.6586
Pr: 0.5000 0.6586 0.8569
Pr: 0.0000 0.3101 0.6900
Pr: 0.5000 0.5000 0.5000
Pr: 0.5000 0.3414 0.1431
Pr: 0.0000 0.6899 0.3100
Tb: 0.0000 0.0000 0.0000

=====

How do the energies compare? Relative to the most stable structure, in meV/atom: w 445; x 0.

=====

w | DFT (GGA-PBE) results for Tb5Pr4Nd3 after structural relaxation.

Results
Volume = 34.1 Å³/atom
Size of the total moment = 0.00 μB per formula unit
Space group = No. 2

a = 7.2836 Å, b = 9.6415 Å, c = 13.1543 Å
α = 137.34°, β = 56.15°, γ = 139.12°
Element x y z (fractional)
Tb: 0.3343 0.6689 0.8345
Tb: 0.5846 0.1657 0.8333
Tb: 0.5000 0.0000 0.5000
Tb: 0.4154 0.8343 0.1667
Tb: 0.6657 0.3311 0.1655
Pr: 0.0825 0.1678 0.8338
Pr: 0.9175 0.8322 0.1662
Pr: 0.1680 0.3355 0.1668
Pr: 0.8320 0.6645 0.8332
Nd: 0.7471 0.4976 0.4992
Nd: 0.0000 0.0000 0.5000
Nd: 0.2529 0.5024 0.5008

=====

x | DFT (GGA-PBE) results for Tb5Pr4Nd3 after structural relaxation.

Results
Volume = 34.9 Å³/atom
Size of the total moment = 0.07 μB per formula unit
Space group = No. 12

a = 6.0459 Å, b = 8.6947 Å, c = 9.8590 Å
α = 105.76°, β = 72.14°, γ = 69.65°
Element x y z (fractional)
Nd: 0.4784 0.3119 0.7312
Nd: 0.5216 0.6881 0.2688
Nd: 0.0000 0.5000 0.5000
Tb: 0.7839 0.5443 0.8879
Tb: 0.2161 0.4557 0.1121
Tb: 0.3743 0.0541 0.1972
Tb: 0.5000 0.5000 0.5000
Tb: 0.6257 0.9459 0.8028
Pr: 0.1398 0.7762 0.9442
Pr: 0.8301 0.9592 0.3805
Pr: 0.1699 0.0408 0.6195
Pr: 0.8602 0.2238 0.0558

=====

How do the energies compare? Relative to the most stable structure, in meV/atom: w 0; x 194.

=====

w | DFT (GGA-PBE) results for Tb12PrNd6 after structural relaxation.

Results
Volume = 33.5 Å³/atom
Size of the total moment = 0.00 μB per formula unit
Space group = No. 166

a = 8.7333 Å, b = 8.7333 Å, c = 8.7333 Å
α = 79.71°, β = 79.71°, γ = 79.71°
Element x y z (fractional)
Tb: 0.1370 0.4826 0.1372
Tb: 0.8029 0.4846 0.4843
Tb: 0.4846 0.4843 0.8029
Tb: 0.8628 0.8630 0.5174
Tb: 0.8630 0.5174 0.8628
Tb: 0.5157 0.1971 0.5154
Tb: 0.4843 0.8029 0.4846
Tb: 0.5174 0.8628 0.8630
Tb: 0.1372 0.1370 0.4826
Tb: 0.4826 0.1372 0.1370
Tb: 0.5154 0.5157 0.1971
Tb: 0.1971 0.5154 0.5157
Nd: 0.8352 0.2307 0.2303
Nd: 0.7693 0.7697 0.1648
Nd: 0.2303 0.8352 0.2307
Nd: 0.7697 0.1648 0.7693
Nd: 0.1648 0.7693 0.7697
Nd: 0.2307 0.2303 0.8352
Pr: 0.0000 0.0000 0.0000

=====

x | DFT (GGA-PBE) results for Tb12PrNd6 after structural relaxation.

Results
Volume = 34.5 Å³/atom
Size of the total moment = 0.00 μB per formula unit
Space group = No. 166

a = 8.8035 Å, b = 8.8035 Å, c = 8.8035 Å
α = 98.74°, β = 98.74°, γ = 98.74°
Element x y z (fractional)
Tb: 0.3566 0.3566 0.0821
Tb: 0.7574 0.5000 0.2426
Tb: 0.7574 0.2426 0.5000
Tb: 0.9179 0.6434 0.6434
Tb: 0.2426 0.7574 0.5000
Tb: 0.0821 0.3566 0.3566
Tb: 0.5000 0.7574 0.2426
Tb: 0.5000 0.2426 0.7574
Tb: 0.2426 0.5000 0.7574
Tb: 0.6434 0.6434 0.9179
Tb: 0.3566 0.0821 0.3566
Tb: 0.6434 0.9179 0.6434
Nd: 0.6553 0.0980 0.0980
Nd: 0.0980 0.0980 0.6553
Nd: 0.9020 0.9020 0.3447
Nd: 0.9020 0.3447 0.9020
Nd: 0.3447 0.9020 0.9020
Nd: 0.0980 0.6553 0.0980
Pr: 0.0000 0.0000 0.0000

=====

How do the energies compare? Relative to the most stable structure, in meV/atom: w 0; x 93.